# LiInRu2, optimized geometry, DFT PBE-GGA
# spin magnetization	0.00	μB per formula unit
# Fermi-level density of states	7.7	states/eV/cell
# E_form	129	meV per atom
data_LiInRu2
_space_group_name_H-M_alt 'C 1 m 1'
_space_group_IT_number 8
_space_group_name_Hall 'C -2y'
_cell_length_a 8.8565
_cell_length_b 2.8849
_cell_length_c 4.8756
_cell_angle_alpha 90.00
_cell_angle_beta 98.20
_cell_angle_gamma 90.00
loop_
_atom_site_label
_atom_site_type_symbol
_atom_site_fract_x
_atom_site_fract_y
_atom_site_fract_z
Li1 Li 0.0000 0.0000 0.0000
In1 In 0.2554 0.5000 0.2199
Ru1 Ru 0.0028 0.5000 0.5355
Ru2 Ru 0.2440 0.0000 0.7161



# LiIn2Ru, optimized geometry, DFT PBE-GGA
# spin magnetization	0.00	μB per formula unit
# excess energy over the best structure of this formula in the dataset	302	meV/atom
# Fermi-level density of states	12.9	states/eV/cell
# E_form	149	meV per atom
data_LiIn2Ru
_space_group_name_H-M_alt 'F -4 3 m'
_space_group_IT_number 216
_space_group_name_Hall 'F -4 2 3'
_cell_length_a 6.5567
_cell_length_b 6.5567
_cell_length_c 6.5567
_cell_angle_alpha 90.00
_cell_angle_beta 90.00
_cell_angle_gamma 90.00
loop_
_atom_site_label
_atom_site_type_symbol
_atom_site_fract_x
_atom_site_fract_y
_atom_site_fract_z
Li1 Li 0.0000 0.0000 0.0000
In1 In 0.0000 0.0000 0.5000
In2 In 0.2500 0.2500 0.7500
Ru1 Ru 0.2500 0.2500 0.2500